Here is a geometry-optimized Pr5Tm structure from the Alexandria database. Energies are from GGA-PBE.

```
Pr5Tm
1.0
5.206 0.000 0.000
0.000 11.015 0.000
0.000 0.000 7.344
Pr Tm
10 2
Cartesian
1.302 0.915 0.904
1.302 0.941 4.608
1.302 4.566 4.608
1.302 4.592 0.904
1.302 8.261 4.601
3.905 2.754 2.744
3.905 6.423 6.440
3.905 6.449 2.737
3.905 10.074 2.737
3.905 10.100 6.440
1.302 8.261 0.902
3.905 2.754 6.443
```

## Properties
Its relative energy among the computed polymorphs is 0.000 eV per formula unit. Its formation energy is 0.014 eV per atom. The calculation puts the total DFT energy (no corrections) at -4.71 eV/atom.

Here is a geometry-optimized HgPbBr2 structure from the Alexandria database. Energies are from GGA-PBE.

```
HgPbBr2
1.0
0.000 3.874 3.874
3.874 0.000 3.874
3.874 3.874 0.000
Hg Pb Br
1 1 2
Cartesian
0.000 0.000 0.000
1.937 1.937 1.937
3.874 3.874 3.874
5.811 5.811 5.811
```

## Properties
Its relative energy among the computed polymorphs is 1.425 eV per formula unit. The formation energy from raw total energies is -298 meV per atom. The calculation puts the total DFT energy (no corrections) at -2.14 eV/atom.

Among the records above, which one has the highest relative energy among the computed polymorphs?
HgPbBr2